The following is a PBE-GGA calculation of a geometry-optimized LiYTc2P structure, from Alexandria.

Output
The total energy is -6.390 eV/atom. The calculation puts the calculated formation energy at 514 meV/atom.

a b c (Å): 4.393 4.393 4.100
angles (deg): 90.00 90.00 90.00
Space group P4/mmm (No. 123)
Unique sites:
Li 0.000 0.000 0.000 (multiplicity 1)
Y 0.500 0.500 0.500 (multiplicity 1)
Tc 0.000 0.500 0.000 (multiplicity 2)
P 0.000 0.000 0.500 (multiplicity 1)